Record 1
DFT (GGA-PBE) results for a relaxed structure of La3TbIn3.

Cell and atoms, written as extended XYZ:
```
28
Lattice="9.685 0.000 0.000 0.000 9.685 0.000 0.000 0.000 9.685" Properties=species:S:1:pos:R:3 pbc="T T T"
La 0.656 4.186 5.499
La 1.627 8.058 3.216
La 1.700 1.700 1.700
La 3.143 7.985 6.542
La 3.216 1.627 8.058
La 4.186 5.499 0.656
La 5.499 0.656 4.186
La 6.469 6.469 6.469
La 6.542 3.143 7.985
La 7.985 6.542 3.143
La 8.058 3.216 1.627
La 9.028 9.028 9.028
Tb 0.760 5.603 8.924
Tb 4.082 4.082 4.082
Tb 5.603 8.924 0.760
Tb 8.924 0.760 5.603
In 0.053 2.504 8.388
In 1.296 4.895 2.338
In 2.338 1.296 4.895
In 2.504 8.388 0.053
In 3.546 4.789 7.180
In 4.789 7.180 3.546
In 4.895 2.338 1.296
In 6.139 9.632 7.347
In 7.180 3.546 4.789
In 7.347 6.139 9.632
In 8.388 0.053 2.504
In 9.632 7.347 6.139
```

Results
- crystal system = cubic
- formation energy from the elements (eV/atom) = -0.353
- energy above the most stable polymorph in this dataset (meV/atom) = 0



Record 2
DFT (GGA-PBE) results for a relaxed structure of La2Tb2In3.

Cell and atoms, written as extended XYZ:
```
7
Lattice="3.937 0.000 0.000 -1.966 5.918 0.000 -0.004 -0.204 8.729" Properties=species:S:1:pos:R:3 pbc="T T T"
La -0.002 2.529 1.369
La 1.970 3.185 7.360
Tb -0.001 0.504 6.100
Tb 1.969 5.211 2.630
In 0.000 3.934 4.786
In 1.969 0.000 0.000
In 1.968 1.780 3.944
```

Results
- crystal system = triclinic
- formation energy from the elements (eV/atom) = -0.375
- energy above the most stable polymorph in this dataset (meV/atom) = 0



Record 3
DFT (GGA-PBE) results for a relaxed structure of LaTb2In2.

Cell and atoms, written as extended XYZ:
```
10
Lattice="-2.342 2.342 14.563 2.342 -2.342 14.563 2.342 2.342 -14.563" Properties=species:S:1:pos:R:3 pbc="T T T"
La 0.000 0.000 3.812
La 0.000 0.000 25.314
Tb 2.342 0.000 7.282
Tb 0.000 0.000 12.449
Tb 0.000 0.000 16.677
Tb 0.000 2.342 7.282
In 2.342 0.000 0.000
In 0.000 0.000 9.457
In 0.000 2.342 0.000
In 0.000 0.000 19.669
```

Results
- crystal system = tetragonal
- formation energy from the elements (eV/atom) = -0.181
- energy above the most stable polymorph in this dataset (meV/atom) = 196



Record 4
DFT (GGA-PBE) results for a relaxed structure of La5Tb4In4.

Cell and atoms, written as extended XYZ:
```
13
Lattice="-6.395 6.395 2.571 6.395 -6.395 2.571 6.395 6.395 -2.571" Properties=species:S:1:pos:R:3 pbc="T T T"
La 0.000 0.000 0.000
La 7.712 3.904 0.000
La 3.904 5.078 0.000
La 2.491 1.317 2.571
La -1.317 2.491 2.571
Tb 5.083 1.198 0.000
Tb 5.197 -1.312 2.571
Tb 1.198 7.707 0.000
Tb 1.312 5.197 2.571
In 9.719 1.237 0.000
In 1.237 3.071 0.000
In 5.158 3.324 2.571
In -3.324 5.158 2.571
```

Results
- crystal system = tetragonal
- formation energy from the elements (eV/atom) = -0.312



Record 5
DFT (GGA-PBE) results for a relaxed structure of La2Tb5In4.

Cell and atoms, written as extended XYZ:
```
11
Lattice="-1.832 4.590 10.885 1.832 -4.590 10.885 1.832 4.590 -10.885" Properties=species:S:1:pos:R:3 pbc="T T T"
La 0.000 0.000 2.492
La 0.000 0.000 19.277
Tb 1.832 0.000 0.000
Tb 1.832 -1.736 7.310
Tb 0.000 2.853 3.574
Tb 1.832 1.736 7.310
Tb 0.000 6.326 3.574
In 0.000 0.000 5.513
In 0.000 2.935 0.000
In 0.000 6.245 0.000
In 0.000 0.000 16.256
```

Results
- crystal system = orthorhombic
- formation energy from the elements (eV/atom) = 0.240



Record 6
DFT (GGA-PBE) results for a relaxed structure of La3TbIn3.

Cell and atoms, written as extended XYZ:
```
14
Lattice="4.213 -5.455 0.000 4.213 5.455 0.000 -0.375 0.000 9.965" Properties=species:S:1:pos:R:3 pbc="T T T"
La 4.213 3.506 0.000
La 4.025 2.838 4.983
La 3.348 0.000 1.805
La 4.703 0.000 8.160
La 4.025 -2.838 4.983
La 4.213 -3.506 0.000
Tb 2.129 0.000 5.398
Tb 5.922 0.000 4.567
In 0.096 0.000 2.713
In 1.950 2.292 7.580
In 1.950 -2.292 7.580
In 6.101 2.292 2.385
In 6.101 -2.292 2.385
In 7.955 0.000 7.252
```

Results
- crystal system = monoclinic
- formation energy from the elements (eV/atom) = -0.297
- energy above the most stable polymorph in this dataset (meV/atom) = 55



Record 7
DFT (GGA-PBE) results for a relaxed structure of LaTb2In3.

Cell and atoms, written as extended XYZ:
```
6
Lattice="3.803 0.000 0.000 0.000 3.803 0.000 0.000 0.000 11.686" Properties=species:S:1:pos:R:3 pbc="T T T"
La 0.000 0.000 0.000
Tb 0.000 0.000 3.977
Tb 0.000 0.000 7.709
In 1.902 1.902 2.125
In 1.902 1.902 5.843
In 1.902 1.902 9.561
```

Results
- crystal system = tetragonal
- formation energy from the elements (eV/atom) = -0.494
- energy above the most stable polymorph in this dataset (meV/atom) = 0



Record 8
DFT (GGA-PBE) results for a relaxed structure of LaTb3In2.

Cell and atoms, written as extended XYZ:
```
12
Lattice="5.286 0.000 0.000 0.000 10.013 0.000 0.000 0.000 6.778" Properties=species:S:1:pos:R:3 pbc="T T T"
La 0.000 0.385 0.000
La 0.000 9.628 3.389
Tb 0.000 3.242 4.370
Tb 0.000 6.771 0.981
Tb 2.643 1.877 1.857
Tb 2.643 4.593 6.272
Tb 2.643 5.420 2.883
Tb 2.643 8.136 5.246
In 0.000 3.612 1.168
In 0.000 6.401 4.557
In 2.643 1.479 5.038
In 2.643 8.534 1.649
```

Results
- crystal system = orthorhombic
- formation energy from the elements (eV/atom) = -0.352
- energy above the most stable polymorph in this dataset (meV/atom) = 0



Record 9
DFT (GGA-PBE) results for a relaxed structure of La5Tb2In5.

Cell and atoms, written as extended XYZ:
```
12
Lattice="5.114 -2.738 0.000 5.114 2.738 0.000 -3.676 0.000 13.408" Properties=species:S:1:pos:R:3 pbc="T T T"
La 0.000 0.000 0.000
La 1.669 0.000 6.866
La 3.640 0.000 2.498
La 2.913 0.000 10.910
La 4.883 0.000 6.542
Tb -0.616 0.000 9.495
Tb 7.169 0.000 3.913
In -1.838 0.000 6.704
In 0.239 0.000 3.810
In -0.414 0.000 12.557
In 6.966 0.000 0.851
In 6.313 0.000 9.598
```

Results
- crystal system = monoclinic
- formation energy from the elements (eV/atom) = -0.339



Record 10
DFT (GGA-PBE) results for a relaxed structure of LaTb4In2.

Cell and atoms, written as extended XYZ:
```
14
Lattice="6.438 0.000 0.000 0.000 10.950 0.000 -2.649 0.000 6.271" Properties=species:S:1:pos:R:3 pbc="T T T"
La 0.000 0.000 0.000
La -1.324 5.475 3.135
Tb -1.314 1.855 3.136
Tb 0.010 3.620 0.000
Tb 1.884 7.897 3.134
Tb 0.560 8.528 6.269
Tb 3.230 2.422 0.002
Tb 1.905 3.053 3.137
Tb 3.779 7.330 6.270
Tb 5.104 9.096 3.135
In 1.015 10.947 4.292
In 2.340 5.479 1.157
In 2.774 0.004 1.979
In 1.450 5.471 5.114
```

Results
- crystal system = monoclinic
- formation energy from the elements (eV/atom) = -0.158
- energy above the most stable polymorph in this dataset (meV/atom) = 36



Record 11
DFT (GGA-PBE) results for a relaxed structure of La14TbIn.

Cell and atoms, written as extended XYZ:
```
16
Lattice="5.184 -5.189 0.000 5.184 5.189 0.000 0.000 0.000 10.416" Properties=species:S:1:pos:R:3 pbc="T T T"
La 0.000 0.000 0.000
La 2.592 2.595 0.000
La 2.592 2.595 5.208
La 2.538 0.000 2.664
La 2.538 0.000 7.752
La 5.184 2.647 2.664
La 5.184 2.647 7.752
La 2.592 -2.595 0.000
La 2.592 -2.595 5.208
La 5.184 0.000 0.000
La 5.184 -2.647 2.664
La 5.184 -2.647 7.752
La 7.830 0.000 2.664
La 7.830 0.000 7.752
Tb 5.184 0.000 5.208
In 0.000 0.000 5.208
```

Results
- crystal system = orthorhombic
- formation energy from the elements (eV/atom) = -0.061



Record 12
DFT (GGA-PBE) results for a relaxed structure of La3Tb2In3.

Cell and atoms, written as extended XYZ:
```
8
Lattice="-1.954 2.788 11.521 1.954 -2.788 11.521 1.954 2.788 -11.521" Properties=species:S:1:pos:R:3 pbc="T T T"
La 0.000 0.000 0.000
La 1.954 0.000 8.682
La 0.000 2.788 2.839
Tb 0.000 0.000 5.404
Tb 0.000 0.000 17.638
In 1.954 0.000 2.854
In 0.000 0.000 11.521
In 0.000 2.788 8.667
```

Results
- crystal system = orthorhombic
- formation energy from the elements (eV/atom) = -0.371
- energy above the most stable polymorph in this dataset (meV/atom) = 0